(1)
AcDy10Er4 | Alexandria via LeMat-Bulk | PBE | optimized geometry; total energy = -4.026 eV/atom; symmetry = I4/m, No. 87
1.0
-5.811 -0.893 3.066
-6.091 -4.662 -5.732
0.022 -8.286 4.798
Ac Dy Er
1 10 4
Cartesian
0.000 0.000 0.000
-4.487 -6.697 0.300
-6.149 -9.455 3.527
-6.548 -5.084 4.024
-8.229 -9.203 -0.362
-8.644 -4.834 0.143
-5.731 -4.386 -1.394
-7.392 -7.144 1.833
-3.235 -9.007 1.989
-3.651 -4.638 2.495
-5.332 -8.758 -1.891
-7.918 -6.573 -2.581
-8.515 -11.479 2.028
-3.365 -2.362 0.104
-3.962 -7.268 4.714

---

(2)
KTiIn | Alexandria via LeMat-Bulk | PBE | optimized geometry; total energy = -3.654 eV/atom; energy relative to the lowest polymorph listed for this composition = 0.65 eV/f.u.; symmetry = Cmcm, No. 63
1.0
-4.515 2.219 1.098
0.634 -1.163 4.958
6.369 11.971 1.995
K Ti In
4 4 4
Cartesian
0.105 7.638 3.107
-2.763 1.070 4.588
2.383 5.389 4.944
5.250 11.956 3.462
-0.506 3.811 2.287
5.251 8.106 5.215
2.994 9.216 5.764
-2.764 4.921 2.836
1.895 11.005 3.668
-0.971 4.437 5.149
0.592 2.022 4.383
3.459 8.590 2.902

---

(3)
Li5Cd2HgPb2 | Alexandria via LeMat-Bulk | PBE | optimized geometry; total energy = -2.098 eV/atom; symmetry = P4/mbm, No. 127
1.0
3.650 0.000 0.000
0.000 10.834 0.000
0.000 0.000 10.834
Li Cd Hg Pb
10 4 2 4
Cartesian
1.825 2.156 0.234
1.825 8.678 10.600
1.825 0.234 8.678
1.825 7.573 5.183
1.825 10.600 2.156
1.825 3.261 5.652
1.825 5.652 7.573
1.825 5.183 3.261
1.825 5.417 0.000
1.825 0.000 5.417
0.000 1.499 6.917
0.000 9.335 3.918
0.000 6.917 9.335
0.000 3.918 1.499
0.000 0.000 0.000
0.000 5.417 5.417
0.000 7.199 1.782
0.000 3.635 9.052
0.000 1.782 3.635
0.000 9.052 7.199

---

(4)
Mn2BeRh | Alexandria via LeMat-Bulk | PBE | optimized geometry; total energy = -7.368 eV/atom; symmetry = P4/mmm, No. 123
1.0
2.617 0.000 0.000
0.000 2.617 0.000
0.000 0.000 6.556
Be Mn Rh
1 2 1
Cartesian
1.308 1.308 4.917
0.000 0.000 6.360
0.000 0.000 3.475
1.308 1.308 1.639

---

(5)
Cs2RbHg6Pd | Alexandria via LeMat-Bulk | PBE | optimized geometry; total energy = -1.195 eV/atom; symmetry = P-3m1, No. 164
1.0
-2.445 0.322 -6.706
-4.255 -6.301 1.249
-2.945 6.980 1.409
Cs Rb Hg Pd
2 1 6 1
Cartesian
-4.210 2.662 -0.915
-5.436 -1.661 -3.134
-1.222 0.161 -3.353
-4.066 1.776 -4.894
-5.277 4.648 -4.314
-7.028 2.055 -3.801
-4.368 -3.647 0.266
-2.617 -1.054 -0.248
-5.580 -0.775 0.846
0.000 0.000 0.000

---

(6)
KHfB | Alexandria via LeMat-Bulk | PBE | optimized geometry; total energy = -5.609 eV/atom; energy relative to the lowest polymorph listed for this composition = 1.11 eV/f.u.; symmetry = Cm, No. 8
1.0
13.568 0.000 0.032
2.242 2.726 -2.818
-2.242 2.726 2.818
K B Hf
2 2 2
Cartesian
7.943 2.726 -1.714
2.397 2.726 -1.630
8.711 1.876 1.515
8.711 3.576 1.515
12.248 2.726 -2.142
10.610 2.726 0.357

---

(7)
Ba2UNi2Se6 | Alexandria via LeMat-Bulk | PBE | optimized geometry; total energy = -5.378 eV/atom; symmetry = C2/m, No. 12
1.0
7.434 0.000 0.000
-3.717 6.448 -0.307
0.000 -4.055 6.702
Ba U Ni Se
2 1 2 6
Cartesian
3.717 2.143 1.332
0.000 0.250 5.063
3.717 -2.027 3.351
3.717 2.572 5.189
0.000 -0.179 1.206
3.717 0.514 4.203
-1.838 4.949 1.103
1.879 -2.557 5.292
5.555 -2.557 5.292
1.838 4.949 1.103
0.000 1.879 2.192

---

(8)
NaSi2Bi2 | Alexandria via LeMat-Bulk | PBE | optimized geometry; total energy = -3.659 eV/atom; energy relative to the lowest polymorph listed for this composition = 0.70 eV/f.u.; symmetry = I4/mmm, No. 139
1.0
4.749 0.000 0.000
0.000 4.749 0.000
2.375 2.375 6.831
Na Si Bi
1 2 2
Cartesian
0.000 0.000 0.000
4.749 2.375 3.415
2.375 4.749 3.415
2.375 2.375 1.785
4.749 4.749 5.046

---

(9)
Li6LaAu2 | Alexandria via LeMat-Bulk | PBE | optimized geometry; total energy = -2.816 eV/atom; energy relative to the lowest polymorph listed for this composition = 0.81 eV/f.u.; symmetry = C2/m, No. 12
1.0
-3.569 1.281 -2.499
-8.467 -3.756 -2.150
-8.558 3.728 1.815
Li La Au
6 1 2
Cartesian
-13.435 -0.825 -1.774
-7.159 2.078 -1.061
-7.129 -0.424 -2.386
-10.312 1.918 -0.733
-10.281 -0.664 -2.101
-13.465 1.678 -0.448
-3.569 1.281 -2.499
-5.369 0.181 -0.464
-15.224 1.072 -2.371

---

(10)
ZnCuP2 | Alexandria via LeMat-Bulk | PBE | optimized geometry; total energy = -3.568 eV/atom; symmetry = F-43m, No. 216
1.0
-2.438 3.572 -0.275
-4.280 -0.244 0.637
-1.759 1.703 3.575
Cu P Zn
1 2 1
Cartesian
-4.239 2.516 1.968
0.000 0.000 0.000
-2.119 1.258 0.984
-6.358 3.774 2.952

---

(11)
CeTmLuGa | Alexandria via LeMat-Bulk | PBE | optimized geometry; total energy = -4.580 eV/atom; symmetry = F-43m, No. 216
1.0
5.246 0.000 0.000
2.623 4.543 0.000
2.623 1.514 4.283
Lu Tm Ga Ce
1 1 1 1
Cartesian
7.869 4.543 3.212
0.000 0.000 0.000
2.623 1.514 1.071
5.246 3.029 2.142

---

(12)
LaNi3B | Alexandria via LeMat-Bulk | PBE | optimized geometry; total energy = -6.232 eV/atom; symmetry = Imma, No. 74
1.0
-1.750 -5.640 1.070
3.636 0.055 4.775
-4.931 3.178 -1.268
La Ni B
2 6 2
Cartesian
-0.592 -3.810 3.294
-2.454 1.403 1.283
-0.346 -0.770 2.324
-2.700 -1.637 2.254
-2.052 -3.254 0.500
-4.629 0.791 -0.698
0.000 0.000 0.000
-3.341 -1.231 -0.099
-1.424 -1.344 0.713
-1.621 -1.063 3.864